No. 1
## Hf3Be3N (PBE)

Data for a relaxed structure of Hf3Be3N.

Summary:
Formation energy from raw total energies   -0.58 eV/atom
Total moment   0.0 μB per cell
Crystal system   cubic

Cell: 8.1395 8.1395 8.1395 Å, 60.00 60.00 60.00°
Positions (direct):
Hf1 0.0695 0.0695 0.6805
Hf2 0.0695 0.6805 0.0695
Hf3 0.0695 0.6805 0.6805
Hf4 0.3195 0.3195 0.9305
Hf5 0.3195 0.9305 0.3195
Hf6 0.3195 0.9305 0.9305
Hf7 0.6805 0.0695 0.0695
Hf8 0.6805 0.0695 0.6805
Hf9 0.6805 0.6805 0.0695
Hf10 0.9305 0.3195 0.3195
Hf11 0.9305 0.3195 0.9305
Hf12 0.9305 0.9305 0.3195
Be1 0.0000 0.5000 0.5000
Be2 0.3023 0.3023 0.3023
Be3 0.3023 0.3023 0.5931
Be4 0.3023 0.5931 0.3023
Be5 0.4069 0.6977 0.6977
Be6 0.5000 0.0000 0.5000
Be7 0.5000 0.5000 0.0000
Be8 0.5000 0.5000 0.5000
Be9 0.5931 0.3023 0.3023
Be10 0.6977 0.4069 0.6977
Be11 0.6977 0.6977 0.4069
Be12 0.6977 0.6977 0.6977
N1 0.0000 0.0000 0.0000
N2 0.0000 0.0000 0.5000
N3 0.0000 0.5000 0.0000
N4 0.5000 0.0000 0.0000

***

No. 2
## LiZrAs2 (PBE)

Data for a relaxed structure of LiZrAs2.

Summary:
Total moment   0.0 μB per cell
Calculated formation energy   -516 meV/atom
Crystal system   tetragonal

Cell: 5.8540 5.8540 5.8540 Å, 106.17 106.17 116.30°
Positions (direct):
Li1 0.0000 0.0000 0.0000
Li2 0.7500 0.2500 0.5000
Zr1 0.2500 0.7500 0.5000
Zr2 0.5000 0.5000 0.0000
As1 0.1068 0.1250 0.4818
As2 0.3750 0.8932 0.0182
As3 0.6432 0.6250 0.5182
As4 0.8750 0.3568 0.9818

***

No. 3
## CuSn2BiH (PBE)

Data for a relaxed structure of CuSn2BiH.

Summary:
Total moment   0.0 μB per cell
Crystal system   tetragonal
Energy   -3.655 eV/atom

Cell: 5.7077 5.7077 3.3238 Å, 90.00 90.00 90.00°
Positions (direct):
Cu1 0.0000 0.0000 0.0000
Sn1 0.0000 0.5000 0.0000
Sn2 0.5000 0.0000 0.0000
Bi1 0.5000 0.5000 0.5000
H1 0.0000 0.0000 0.5000

***

No. 4
## Pm5Y4In (PBE)

Data for a relaxed structure of Pm5Y4In.

Summary:
Total moment   0.0 μB per cell
Calculated formation energy   119 meV/atom
Crystal system   tetragonal

Cell: 8.1071 8.1071 8.1071 Å, 97.76 97.76 136.89°
Positions (direct):
Pm1 0.0000 0.0000 0.0000
Pm2 0.0929 0.0929 0.6269
Pm3 0.0929 0.4661 0.0000
Pm4 0.4661 0.0929 0.0000
Pm5 0.4661 0.4661 0.3731
Y1 0.1020 0.7855 0.3165
Y2 0.4690 0.7855 0.6835
Y3 0.7855 0.1020 0.3165
Y4 0.7855 0.4690 0.6835
In1 0.5200 0.5200 0.0000

***

Look up the total moment of the third one. 0.0 μB per cell

***

Which value of total moment does entry 3 give? 0.0 μB per cell